## Fe2MoPb (meta-GGA SCAN)

Data for a crystal of Fe2MoPb relaxed with PBEsol.

Unit cell a=3.1137 b=3.1137 c=6.0390 alpha=90.00 beta=90.00 gamma=90.00
Closest atoms and distances in Å follow each position.
Space group P4/mmm (No. 123)
Symmetry-distinct sites (fractional):
Fe (0.0000, 0.0000, 0.2131) (multiplicity 2)  4 Mo 2.55, 1 Fe 2.57, 4 Pb 2.80
Mo (0.5000, 0.5000, 0.0000) (multiplicity 1)  8 Fe 2.55
Pb (0.5000, 0.5000, 0.5000) (multiplicity 1)  8 Fe 2.80, 2 Mo 3.02, 4 Pb 3.11

calculated volume = 59 Å³/cell
formation energy from the elements = 0.545 eV/atom

=====

## FeMo2Pb (meta-GGA SCAN)

Data for a crystal of FeMo2Pb relaxed with PBEsol.

Unit cell a=3.9278 b=4.3486 c=7.5548 alpha=90.00 beta=90.00 gamma=90.00
Closest atoms and distances in Å follow each position.
Space group Cmmm (No. 65)
Symmetry-distinct sites (fractional):
Fe (0.0000, 0.0000, 0.0000) (multiplicity 2)  8 Mo 2.49-2.66
Mo (0.0000, 0.5000, 0.2017) (multiplicity 4)  4 Fe 2.49-2.66
Pb (0.0000, 0.0000, 0.5000) (multiplicity 2)  4 Pb 2.93, 8 Mo 2.99-3.13

calculated volume = 129 Å³/cell
formation energy from the elements = 0.564 eV/atom

=====

## Fe2MoPb (meta-GGA SCAN)

Data for a crystal of Fe2MoPb relaxed with PBEsol.

Unit cell a=3.8631 b=3.8631 c=7.9525 alpha=90.00 beta=90.00 gamma=90.00
Closest atoms and distances in Å follow each position.
Space group I-4m2 (No. 119)
Symmetry-distinct sites (fractional):
Fe (0.0000, 0.0000, 0.0000) (multiplicity 2)  4 Mo 2.73, 4 Fe 2.77, 4 Pb 2.77
Fe (0.0000, 0.5000, 0.2500) (multiplicity 2)  4 Pb 2.73, 4 Fe 2.77, 4 Mo 2.77
Mo (0.0000, 0.0000, 0.5000) (multiplicity 2)  8 Fe 2.73-2.77, 4 Pb 2.77
Pb (0.0000, 0.5000, 0.7500) (multiplicity 2)  8 Fe 2.73-2.77, 4 Mo 2.77

calculated volume = 119 Å³/cell
formation energy from the elements = 0.526 eV/atom

=====

## FeMoPb2 (meta-GGA SCAN)

Data for a crystal of FeMoPb2 relaxed with PBEsol.

Unit cell a=4.0053 b=4.0053 c=9.4320 alpha=90.00 beta=90.00 gamma=90.00
Closest atoms and distances in Å follow each position.
Space group I-4m2 (No. 119)
Symmetry-distinct sites (fractional):
Fe (0.0000, 0.0000, 0.0000) (multiplicity 2)  8 Pb 2.83-3.09, 4 Mo 3.09
Mo (0.0000, 0.5000, 0.2500) (multiplicity 2)  8 Pb 2.83-3.09, 4 Fe 3.09
Pb (0.0000, 0.0000, 0.5000) (multiplicity 2)  4 Fe 2.83, 4 Mo 3.09, 4 Pb 3.09
Pb (0.0000, 0.5000, 0.7500) (multiplicity 2)  4 Mo 2.83, 4 Fe 3.09, 4 Pb 3.09

calculated volume = 151 Å³/cell
formation energy from the elements = 0.793 eV/atom

=====

## Fe2MoPb (meta-GGA SCAN)

Data for a crystal of Fe2MoPb relaxed with PBEsol.

Unit cell a=3.1355 b=4.3402 c=8.7056 alpha=90.00 beta=90.00 gamma=90.00
Closest atoms and distances in Å follow each position.
Space group Imm2 (No. 44)
Symmetry-distinct sites (fractional):
Fe (0.0000, 0.0000, 0.0000) (multiplicity 2)  2 Fe 2.42, 4 Pb 2.69
Fe (0.0000, 0.5000, 0.2875) (multiplicity 2)  2 Fe 2.42, 4 Mo 2.69
Mo (0.0000, 0.5000, 0.7569) (multiplicity 2)  6 Fe 2.69-2.73, 4 Pb 2.86-2.93
Pb (0.0000, 0.0000, 0.5315) (multiplicity 2)  6 Fe 2.69-2.72, 4 Mo 2.86-2.93

calculated volume = 118 Å³/cell
formation energy from the elements = 0.487 eV/atom

=====

## FeMo3Pb (meta-GGA SCAN)

Data for a crystal of FeMo3Pb relaxed with PBEsol.

Unit cell a=4.9059 b=4.9059 c=4.9059 alpha=90.00 beta=90.00 gamma=90.00
Closest atoms and distances in Å follow each position.
Space group Pm-3m (No. 221)
Symmetry-distinct sites (fractional):
Fe (0.0000, 0.0000, 0.0000) (multiplicity 1)  12 Mo 3.47
Mo (0.0000, 0.5000, 0.5000) (multiplicity 3)  2 Pb 2.45
Pb (0.5000, 0.5000, 0.5000) (multiplicity 1)  6 Mo 2.45

calculated volume = 118 Å³/cell
formation energy from the elements = 2.919 eV/atom

=====

## FeMoPb (meta-GGA SCAN)

Data for a crystal of FeMoPb relaxed with PBEsol.

Unit cell a=2.9993 b=2.9993 c=11.0160 alpha=90.00 beta=90.00 gamma=90.00
Closest atoms and distances in Å follow each position.
Space group I4mm (No. 107)
Symmetry-distinct sites (fractional):
Fe (0.0000, 0.0000, 0.0000) (multiplicity 2)  4 Mo 2.49
Mo (0.0000, 0.0000, 0.3822) (multiplicity 2)  4 Fe 2.49
Pb (0.0000, 0.0000, 0.6796) (multiplicity 2)  4 Fe 2.90, 4 Pb 3.00, 4 Mo 3.08

calculated volume = 99 Å³/cell
formation energy from the elements = 0.619 eV/atom

=====

## RbFe2MoPb (meta-GGA SCAN)

Data for a crystal of RbFe2MoPb relaxed with PBEsol.

Unit cell a=4.5596 b=4.5596 c=5.4892 alpha=90.00 beta=90.00 gamma=90.00
Closest atoms and distances in Å follow each position.
Space group P4/mmm (No. 123)
Symmetry-distinct sites (fractional):
Rb (0.0000, 0.0000, 0.0000) (multiplicity 1)  2 Mo 2.74
Fe (0.0000, 0.5000, 0.5000) (multiplicity 2)  2 Mo 2.28
Mo (0.0000, 0.0000, 0.5000) (multiplicity 1)  4 Fe 2.28
Pb (0.5000, 0.5000, 0.0000) (multiplicity 1)  4 Rb 3.22, 8 Fe 3.57

calculated volume = 114 Å³/cell
formation energy from the elements = 1.667 eV/atom